Density functional theory data (PBE) for an optimized crystal structure of Nd3Zr.

abc: 3.5460 5.7478 6.2172
angles: 90.00 90.00 90.00
Space group Pmm2 (No. 25)
One atom of each set of equivalent atoms:
Nd 0.0000 0.0000 0.0000 x1
Nd 0.0000 0.5000 0.3355 x1
Nd 0.5000 0.5000 0.8101 x1
Zr 0.5000 0.0000 0.4980 x1

Summary:
Its density of states at the Fermi level is 7.71 states/eV/cell. As for the excess energy over the best structure of this formula in the dataset: 19 meV per atom. Its calculated formation energy is 0.1609 eV per atom.